1.
A geometry-optimized DyTmMg2 structure, computed with PBE.

Computed properties:
Symmetry: P4/mmm
Energy relative to the lowest polymorph listed for this composition, kJ/mol of formula units: 1.0
Formation energy from the elements, eV per atom: -0.0703

a = 3.7559 Å, b = 5.3412 Å, c = 5.3412 Å
α = 90.00°, β = 90.00°, γ = 90.00°
Atoms (fractional coordinates):
Mg (0.0000, 0.0000, 0.5000)
Mg (0.0000, 0.5000, 0.0000)
Tm (0.5000, 0.5000, 0.5000)
Dy (0.5000, 0.0000, 0.0000)

***

2.
A geometry-optimized AcPaAuO6 structure, computed with PBE.

Computed properties:
Symmetry: P-31c

a = 5.6103 Å, b = 5.6103 Å, c = 11.0339 Å
α = 90.00°, β = 90.00°, γ = 120.00°
Each line ends with the local moment (μB).
Atoms (fractional coordinates):
Ac (0.0000, 0.0000, 0.0000)  0.02
Ac (0.0000, 0.0000, 0.5000)  0.02
Pa (0.3333, 0.6667, 0.2500)  0.01
Pa (0.6667, 0.3333, 0.7500)  0.01
Au (0.6667, 0.3333, 0.2500)  0.39
Au (0.3333, 0.6667, 0.7500)  0.39
O (0.6463, 0.6406, 0.1410)  0.09
O (0.9943, 0.3537, 0.1410)  0.09
O (0.3537, 0.9943, 0.6410)  0.09
O (0.0057, 0.6463, 0.8590)  0.09
O (0.3594, 0.3537, 0.3590)  0.09
O (0.9943, 0.6406, 0.3590)  0.09
O (0.6406, 0.9943, 0.8590)  0.09
O (0.6463, 0.0057, 0.3590)  0.09
O (0.0057, 0.3594, 0.6410)  0.09
O (0.3594, 0.0057, 0.1410)  0.09
O (0.6406, 0.6463, 0.6410)  0.09
O (0.3537, 0.3594, 0.8590)  0.09

***

3.
A geometry-optimized Pr3Dy2Y2 structure, computed with PBE.

Computed properties:
Symmetry: C2/m
Energy relative to the lowest polymorph listed for this composition, kJ/mol of formula units: 59.9
Formation energy from the elements, eV per atom: 0.1055

a = 3.5492 Å, b = 8.6321 Å, c = 9.0450 Å
α = 117.99°, β = 101.31°, γ = 90.00°
Atoms (fractional coordinates):
Pr (0.0000, 0.5000, 0.0000)
Pr (0.2135, 0.7992, 0.4269)
Pr (0.7865, 0.2008, 0.5731)
Dy (0.5644, 0.9094, 0.1288)
Dy (0.4356, 0.0906, 0.8712)
Y (0.8570, 0.6777, 0.7140)
Y (0.1430, 0.3223, 0.2860)

***

4.
A geometry-optimized LiAs2SeBr structure, computed with PBE.

Computed properties:
Symmetry: P4/mmm
Energy relative to the lowest polymorph listed for this composition, kJ/mol of formula units: 230.2

a = 5.1684 Å, b = 5.1684 Å, c = 5.4247 Å
α = 90.00°, β = 90.00°, γ = 90.00°
Each line ends with the local moment (μB).
Atoms (fractional coordinates):
As (0.0000, 0.5000, 0.0000)  0.19
As (0.5000, 0.0000, 0.0000)  0.19
Se (0.0000, 0.0000, 0.5000)  0.15
Br (0.0000, 0.0000, 0.0000)  0.04
Li (0.5000, 0.5000, 0.5000)  0.00

***

5.
A geometry-optimized Li4Zr3AgTe8 structure, computed with PBE.

Computed properties:
Symmetry: R-3m

a = 8.2740 Å, b = 8.4835 Å, c = 8.2749 Å
α = 119.20°, β = 120.00°, γ = 90.00°
Atoms (fractional coordinates):
Li (0.5000, 0.0000, 0.0000)
Li (0.5000, 0.0000, 0.5000)
Li (0.0000, 0.0000, 0.0000)
Li (0.0000, 0.0000, 0.5000)
Zr (0.5000, 0.5000, 0.0000)
Zr (0.5000, 0.5000, 0.5000)
Zr (0.0000, 0.5000, 0.5000)
Ag (0.0000, 0.5000, 0.0000)
Te (0.2522, 0.7474, 0.9953)
Te (0.2522, 0.7475, 0.5045)
Te (0.2503, 0.2509, 0.5006)
Te (0.7431, 0.7474, 0.9953)
Te (0.2569, 0.2526, 0.0047)
Te (0.7497, 0.7491, 0.4994)
Te (0.7478, 0.2525, 0.4955)
Te (0.7478, 0.2526, 0.0047)

***

6.
A geometry-optimized BaGaHg structure, computed with PBE.

Computed properties:
Symmetry: P-6m2
Energy relative to the lowest polymorph listed for this composition, kJ/mol of formula units: 6.7
Formation energy from the elements, eV per atom: -0.4258

a = 4.2708 Å, b = 5.0261 Å, c = 5.0261 Å
α = 120.00°, β = 90.00°, γ = 90.00°
Atoms (fractional coordinates):
Hg (0.1665, 0.0000, 0.0000)
Ga (0.1670, 0.6667, 0.3333)
Ba (0.6665, 0.3333, 0.6667)

***

7.
A geometry-optimized PmPu2HfP4 structure, computed with PBE.

Computed properties:
Symmetry: P2/m
Formation energy from the elements, eV per atom: -1.2917

a = 3.9508 Å, b = 6.8783 Å, c = 6.7826 Å
α = 109.43°, β = 90.00°, γ = 90.00°
Each line ends with the local moment (μB).
Atoms (fractional coordinates):
Pm (0.5000, 0.5000, 0.0000)  0.01
Pu (0.5000, 0.0000, 0.5000)  4.87
Pu (0.0000, 0.5000, 0.5000)  5.09
Hf (0.0000, 0.0000, 0.0000)  0.03
P (0.5000, 0.2326, 0.2414)  -0.08
P (0.5000, 0.7674, 0.7586)  -0.08
P (0.0000, 0.2335, 0.7482)  -0.09
P (0.0000, 0.7665, 0.2518)  -0.09

***

8.
A geometry-optimized BePRu2 structure, computed with PBE.

Computed properties:
Symmetry: F-43m
Energy relative to the lowest polymorph listed for this composition, kJ/mol of formula units: 277.4
Formation energy from the elements, eV per atom: 0.2522

a = 4.1616 Å, b = 4.1616 Å, c = 4.1616 Å
α = 60.00°, β = 60.00°, γ = 60.00°
Atoms (fractional coordinates):
Ru (0.0000, 0.0000, 0.0000)
Ru (0.2500, 0.2500, 0.2500)
Be (0.5000, 0.5000, 0.5000)
P (0.7500, 0.7500, 0.7500)

***

no.,total moment (μB/atom),E (eV per atom)
1,0.000,-3.136
2,0.117,-7.423
3,0.000,-5.105
4,0.226,-2.496
5,0.000,-4.626
6,0.000,-2.176
7,1.268,-9.418
8,0.000,-6.670